No. 1
Here is a PBEsol-optimized structure of BaSrLi2 from Alexandria. Energies are from SCAN.

Geometry as POSCAR:
```
BaSrLi2
1.0
2.386 1.378 8.379
-2.386 1.378 8.379
0.000 -2.755 8.379
Ba Sr Li
1 1 2
Direct
0.000 0.000 0.000
0.193 0.193 0.193
0.435 0.435 0.435
0.768 0.768 0.768
```

Values from the calculation:
The calculation puts the uncorrected energy at -66.30 eV per cell. For the offset from the most stable computed form, the calculation gives 0.0545 eV/atom.

No. 2
Here is a PBEsol-optimized structure of Ba2SrLi from Alexandria. Energies are from SCAN.

Geometry as POSCAR:
```
Ba2SrLi
1.0
-2.221 3.310 6.558
2.221 -3.310 6.558
2.221 3.310 -6.558
Ba Sr Li
2 1 1
Direct
0.000 0.000 0.000
0.710 0.210 0.500
0.424 0.424 0.000
0.217 0.717 0.500
```

Values from the calculation:
The calculation puts the uncorrected energy at -103.62 eV per cell. For the offset from the most stable computed form, the calculation gives 0.0175 eV/atom.

No. 3
Here is a PBEsol-optimized structure of BaSrLi2 from Alexandria. Energies are from SCAN.

Geometry as POSCAR:
```
BaSrLi2
1.0
5.186 0.000 0.000
0.000 2.347 6.588
0.000 -2.347 6.588
Ba Sr Li
1 1 2
Direct
0.000 0.000 0.000
0.500 0.707 0.707
0.000 0.284 0.284
0.500 0.412 0.412
```

Values from the calculation:
The calculation puts the uncorrected energy at -66.49 eV per cell. For the offset from the most stable computed form, the calculation gives 0.0059 eV/atom.

No. 4
Here is a PBEsol-optimized structure of BaSrLi2 from Alexandria. Energies are from SCAN.

Geometry as POSCAR:
```
BaSrLi2
1.0
-2.036 3.028 6.146
2.036 -3.028 6.146
2.036 3.028 -6.146
Ba Sr Li
1 1 2
Direct
0.000 0.000 0.000
0.705 0.205 0.500
0.264 0.764 0.500
0.442 0.442 0.000
```

Values from the calculation:
The calculation puts the uncorrected energy at -66.44 eV per cell. For the offset from the most stable computed form, the calculation gives 0.0189 eV/atom.

No. 5
Here is a PBEsol-optimized structure of BaSrLi2 from Alexandria. Energies are from SCAN.

Geometry as POSCAR:
```
BaSrLi2
1.0
4.051 0.000 0.000
0.000 4.051 0.000
0.000 0.000 9.209
Ba Sr Li
1 1 2
Direct
0.000 0.000 0.000
0.500 0.500 0.644
0.000 0.000 0.393
0.500 0.500 0.266
```

Values from the calculation:
The calculation puts the uncorrected energy at -66.47 eV per cell. For the offset from the most stable computed form, the calculation gives 0.0110 eV/atom.

No. 6
Here is a PBEsol-optimized structure of BaSrLi2 from Alexandria. Energies are from SCAN.

Geometry as POSCAR:
```
BaSrLi2
1.0
6.062 0.000 0.000
0.000 6.062 0.000
0.000 0.000 4.202
Ba Sr Li
1 1 2
Direct
0.000 0.000 0.000
0.500 0.500 0.000
0.000 0.500 0.500
0.500 0.000 0.500
```

Values from the calculation:
The calculation puts the uncorrected energy at -66.51 eV per cell. For the offset from the most stable computed form, the calculation gives 0.0000 eV/atom.

No. 7
Here is a PBEsol-optimized structure of BaSrLi3 from Alexandria. Energies are from SCAN.

Geometry as POSCAR:
```
BaSrLi3
1.0
5.845 0.000 0.000
0.000 5.845 0.000
0.000 0.000 5.845
Ba Sr Li
1 1 3
Direct
0.000 0.000 0.000
0.500 0.500 0.500
0.000 0.000 0.500
0.000 0.500 0.000
0.500 0.000 0.000
```

Values from the calculation:
The calculation puts the uncorrected energy at -66.15 eV per cell.

No. 8
Here is a PBEsol-optimized structure of BaSrLi2 from Alexandria. Energies are from SCAN.

Geometry as POSCAR:
```
BaSrLi2
1.0
0.000 4.258 4.258
4.258 0.000 4.258
4.258 4.258 0.000
Ba Sr Li
1 1 2
Direct
0.000 0.000 0.000
0.500 0.500 0.500
0.250 0.250 0.250
0.750 0.750 0.750
```

Values from the calculation:
The calculation puts the uncorrected energy at -66.48 eV per cell. For the offset from the most stable computed form, the calculation gives 0.0080 eV/atom.

No. 9
Here is a PBEsol-optimized structure of Ba2SrLi from Alexandria. Energies are from SCAN.

Geometry as POSCAR:
```
Ba2SrLi
1.0
0.000 4.646 4.646
4.646 0.000 4.646
4.646 4.646 0.000
Ba Sr Li
2 1 1
Direct
0.250 0.250 0.250
0.750 0.750 0.750
0.000 0.000 0.000
0.500 0.500 0.500
```

Values from the calculation:
The calculation puts the uncorrected energy at -103.27 eV per cell. For the offset from the most stable computed form, the calculation gives 0.1037 eV/atom.

No. 10
Here is a PBEsol-optimized structure of BaSrLi from Alexandria. Energies are from SCAN.

Geometry as POSCAR:
```
BaSrLi
1.0
0.000 4.193 4.193
4.193 0.000 4.193
4.193 4.193 0.000
Ba Sr Li
1 1 1
Direct
0.000 0.000 0.000
0.500 0.500 0.500
0.750 0.750 0.750
```

Values from the calculation:
The calculation puts the uncorrected energy at -63.66 eV per cell. For the offset from the most stable computed form, the calculation gives 0.1651 eV/atom.

No. 11
Here is a PBEsol-optimized structure of BaSrLi2Ti from Alexandria. Energies are from SCAN.

Geometry as POSCAR:
```
BaSrLi2Ti
1.0
5.554 0.000 0.000
0.000 5.554 0.000
0.000 0.000 5.340
Ba Sr Li Ti
1 1 2 1
Direct
0.000 0.000 0.000
0.500 0.500 0.500
0.000 0.500 0.000
0.500 0.000 0.000
0.000 0.000 0.500
```

Values from the calculation:
The calculation puts the uncorrected energy at -78.02 eV per cell.

No. 12
Here is a PBEsol-optimized structure of BaLiTa from Alexandria. Energies are from SCAN.

Geometry as POSCAR:
```
BaLiTa
1.0
3.151 0.000 0.000
-1.576 2.729 0.000
0.000 0.000 8.458
Ba Li Ta
1 1 1
Direct
0.000 0.000 0.000
0.667 0.333 0.619
0.333 0.667 0.342
```

Values from the calculation:
The calculation puts the uncorrected energy at -105.50 eV per cell.

Number 1: calculated formation energy 0.08 eV per atom. Number 2: calculated formation energy 0.04 eV per atom. Number 3: calculated formation energy 0.03 eV per atom. Number 4: calculated formation energy 0.04 eV per atom. Number 5: calculated formation energy 0.03 eV per atom. Number 6: calculated formation energy 0.02 eV per atom. Number 7: calculated formation energy 0.57 eV per atom. Number 8: calculated formation energy 0.03 eV per atom. Number 9: calculated formation energy 0.12 eV per atom. Number 10: calculated formation energy 0.18 eV per atom. Number 11: calculated formation energy 0.92 eV per atom. Number 12: calculated formation energy 1.01 eV per atom.